! VSiSb3 (PBE-GGA, relaxed); values from VASP
! Formation energy without anion corrections   4.6 eV per formula unit
! ρ   5.38 g/cm3
! Space-group type   Pm-3m, No. 221
&SYSTEM
  ibrav = 0, nat = 5, ntyp = 3
/
ATOMIC_SPECIES
V 50.94 V.upf
Si 28.09 Si.upf
Sb 121.76 Sb.upf
ATOMIC_POSITIONS crystal
V 0.000 0.000 0.000
Si 0.500 0.500 0.500
Sb 0.000 0.500 0.500
Sb 0.500 0.000 0.500
Sb 0.500 0.500 0.000
CELL_PARAMETERS angstrom
5.157 0.000 0.000
0.000 5.157 0.000
0.000 0.000 5.157